Compound: BaHg2Au
Source: the Alexandria database
Functional: GGA-PBEsol
Structure: relaxed

ρ (g/cm3): 10.9
Energy of formation from the pure elements (eV/atom): -0.378
Space group: No. 38
Size of the total moment (μB/f.u.): 0.00

Structure (POSCAR):
```
BaHg2Au
1.0
4.425 0.000 0.000
0.000 1.998 6.350
0.000 -1.998 6.350
Ba Hg Au
1 2 1
Direct
0.000 0.000 0.000
0.000 0.260 0.260
0.500 0.672 0.672
0.500 0.397 0.397
```